The following is a DFT calculation (GGA-PBE) of a relaxed structure of RbNb3Ge.

The space group is Pm-3m (No. 221) and the conventional cell measures 4.806, 4.806 and 4.806 Å, with angles of 90.00, 90.00 and 90.00 degrees. The asymmetric unit holds Rb at (0.000, 0.000, 0.000), Nb at (0.000, 0.000, 0.500) and Ge at (0.500, 0.500, 0.500).

As for the energy above the most stable polymorph in this dataset: 1.344 eV/atom. The calculation puts the energy of formation from the pure elements at 13.55 eV per formula unit. As for the energy: -4.45 eV per atom. The value obtained for the total magnetization is 0.00 μB per cell.